Computed, not measured: crystalline Zr2Mn2Zn at its relaxed geometry at the PBE level of DFT.

Symmetry   P4/mbm
DFT total energy   -7.395 eV per atom
Total moment   1.4 μB per formula unit
Energy of formation from the pure elements   -0.264 eV/f.u.

Lattice parameters (Å, degrees): 6.509 6.509 3.941 90.00 90.00 90.00
Atoms (fractional coordinates):
1 Zn 0.000 0.000 0.000
2 Zn 0.500 0.500 0.000
3 Mn 0.389 0.889 0.000
4 Mn 0.889 0.611 0.000
5 Mn 0.611 0.111 0.000
6 Mn 0.111 0.389 0.000
7 Zr 0.185 0.685 0.500
8 Zr 0.685 0.815 0.500
9 Zr 0.815 0.315 0.500
10 Zr 0.315 0.185 0.500